Record 1
YZnFe2 (PBE-GGA, relaxed); SG = P2/m, No. 10; energy relative to the elements = 0.268 eV/atom
1.0
4.365 0.000 0.000
0.000 3.105 -0.007
0.000 0.770 5.102
Fe Y Zn
2 1 1
Direct
0.000 0.933 0.936
0.000 0.567 0.564
0.500 0.250 0.250
0.500 0.750 0.750


Record 2
ErCo3P3 (PBE-GGA, relaxed); SG = Pm-3n, No. 223; energy above the lowest structure with this stoichiometry = 228 meV per atom; energy relative to the elements = -0.529 eV/atom
1.0
-2.611 4.409 3.185
-4.038 0.796 -4.412
-3.644 -4.041 2.606
P Co Er
6 6 2
Direct
0.000 0.250 0.500
0.000 0.750 0.500
0.500 0.000 0.750
0.750 0.500 0.000
0.500 0.000 0.250
0.250 0.500 0.000
0.250 0.000 0.500
0.000 0.500 0.250
0.500 0.750 0.000
0.750 0.000 0.500
0.000 0.500 0.750
0.500 0.250 0.000
0.500 0.500 0.500
0.000 0.000 0.000


Record 3
Pa2BeCo12P3 (PBE-GGA, relaxed); SG = R-3m, No. 166; energy relative to the elements = -0.137 eV/atom
1.0
-0.867 2.973 5.319
-3.897 -3.992 2.601
4.081 -3.104 3.406
Pa Be Co P
2 1 12 3
Direct
0.642 0.642 0.642
0.358 0.358 0.358
0.000 0.000 0.000
0.376 0.376 0.896
0.819 0.819 0.316
0.316 0.819 0.819
0.896 0.376 0.376
0.819 0.316 0.819
0.376 0.896 0.376
0.624 0.624 0.104
0.181 0.181 0.684
0.684 0.181 0.181
0.104 0.624 0.624
0.181 0.684 0.181
0.624 0.104 0.624
0.500 0.000 0.000
0.000 0.500 0.000
0.000 0.000 0.500


Record 4
Pd2PtC (PBE-GGA, relaxed); SG = I-42d, No. 122; energy relative to the elements = 0.533 eV/atom
1.0
7.407 0.000 0.000
0.000 7.407 0.000
3.703 3.703 2.118
C Pd Pt
2 4 2
Direct
0.500 0.500 0.000
0.250 0.750 0.500
0.506 0.125 0.250
0.244 0.625 0.250
0.375 0.494 0.750
0.875 0.756 0.750
0.000 0.000 0.000
0.750 0.250 0.500


Record 5
Tb5TlSe8 (PBE-GGA, relaxed); SG = F-43m, No. 216; formation energy from raw total energies = -1.65 eV per atom
1.0
8.604 0.000 0.000
4.302 7.451 0.000
4.302 2.484 7.025
Tb Tl Se
5 1 8
Direct
0.000 0.000 0.000
0.621 0.621 0.138
0.621 0.621 0.621
0.138 0.621 0.621
0.621 0.138 0.621
0.250 0.250 0.250
0.390 0.830 0.390
0.830 0.390 0.390
0.390 0.390 0.390
0.390 0.390 0.830
0.867 0.867 0.398
0.398 0.867 0.867
0.867 0.867 0.867
0.867 0.398 0.867


Record 6
HfPWS2 (PBE-GGA, relaxed); SG = P4/mmm, No. 123; formation energy from raw total energies = 0.74 eV per atom; energy above the lowest structure with this stoichiometry = 404 meV per atom
1.0
4.794 0.000 0.000
0.000 4.794 0.000
0.000 0.000 5.086
P S Hf W
1 2 1 1
Direct
0.000 0.000 0.500
0.000 0.500 0.000
0.500 0.000 0.000
0.000 0.000 0.000
0.500 0.500 0.500


Record 7
CaLa12Tm3 (PBE-GGA, relaxed); SG = P4/mmm, No. 123; energy relative to the elements = 0.019 eV/atom
1.0
5.222 0.000 0.000
0.000 5.222 0.000
0.000 0.000 20.932
Ca La Tm
1 12 3
Direct
0.000 0.000 0.000
0.500 0.500 0.000
0.500 0.500 0.252
0.500 0.500 0.500
0.500 0.500 0.748
0.500 0.000 0.131
0.500 0.000 0.376
0.500 0.000 0.624
0.500 0.000 0.869
0.000 0.500 0.131
0.000 0.500 0.376
0.000 0.500 0.624
0.000 0.500 0.869
0.000 0.000 0.252
0.000 0.000 0.500
0.000 0.000 0.748


Record 8
TaCdRh (PBE-GGA, relaxed); SG = F-43m, No. 216; energy relative to the elements = 0.577 eV/atom
1.0
0.000 3.138 3.138
3.138 0.000 3.138
3.138 3.138 0.000
Ta Cd Rh
1 1 1
Direct
0.250 0.250 0.250
0.000 0.000 0.000
0.500 0.500 0.500


Record 9
CaFe2Re (PBE-GGA, relaxed); SG = Imm2, No. 44; energy relative to the elements = 0.566 eV/atom
1.0
-5.210 0.948 1.558
-4.239 -2.497 -2.502
4.630 -0.189 2.999
Re Ca Fe
1 1 2
Direct
0.533 0.533 0.000
0.246 0.746 0.500
0.966 0.966 0.000
0.755 0.255 0.500


Record 10
AcPtAu4 (PBE-GGA, relaxed); SG = Cmcm, No. 63; energy above the lowest structure with this stoichiometry = 15 meV per atom; energy relative to the elements = -0.426 eV/atom
1.0
4.370 0.000 0.000
0.000 7.340 0.000
-2.185 0.000 8.284
Ac Pt Au
2 2 8
Direct
0.127 0.250 0.255
0.873 0.750 0.745
0.239 0.750 0.478
0.761 0.250 0.522
0.500 0.500 0.000
0.500 0.000 0.000
0.667 0.940 0.335
0.333 0.060 0.665
0.333 0.440 0.665
0.667 0.560 0.335
0.066 0.750 0.133
0.934 0.250 0.867


Record 11
MnSbP (PBE-GGA, relaxed); SG = F-43m, No. 216; formation energy from raw total energies = 0.18 eV per atom; energy above the lowest structure with this stoichiometry = 332 meV per atom
1.0
0.000 3.063 3.063
3.063 0.000 3.063
3.063 3.063 0.000
Mn Sb P
1 1 1
Direct
0.750 0.750 0.750
0.000 0.000 0.000
0.500 0.500 0.500


Record 12
Pr8Y3Ho (PBE-GGA, relaxed); SG = I222, No. 23; energy relative to the elements = 0.325 eV/atom
1.0
-3.719 0.668 -7.996
7.832 2.149 3.499
1.103 -8.758 0.534
Pr Y Ho
8 3 1
Direct
0.499 0.272 0.266
0.501 0.767 0.773
0.994 0.728 0.227
0.006 0.233 0.734
0.161 0.249 0.411
0.839 0.250 0.089
0.161 0.751 0.911
0.839 0.750 0.589
0.500 0.747 0.247
0.500 0.253 0.753
0.000 0.500 0.500
0.000 0.000 0.000


Record 13
Ca2InBi5 (PBE-GGA, relaxed); SG = Cmmm, No. 65; energy above the lowest structure with this stoichiometry = 7 meV per atom; energy relative to the elements = -0.372 eV/atom
1.0
-3.547 -2.548 -2.538
6.930 -3.264 -6.406
1.548 -7.761 5.628
Ca In Bi
4 2 10
Direct
0.500 0.500 0.238
0.500 0.500 0.762
0.500 0.000 0.738
0.500 0.000 0.262
0.000 0.500 0.500
0.000 0.000 0.000
0.000 0.000 0.500
0.000 0.500 0.000
0.000 0.750 0.250
0.000 0.250 0.750
0.000 0.750 0.750
0.000 0.250 0.250
0.500 0.736 0.500
0.500 0.264 0.500
0.500 0.764 0.000
0.500 0.236 0.000


Record 14
Zn5PdAu4 (PBE-GGA, relaxed); SG = P4/mmm, No. 123; energy relative to the elements = -0.274 eV/atom
1.0
-0.798 -1.622 2.616
2.693 -1.677 -0.218
7.367 10.674 8.869
Zn Pd Au
5 1 4
Direct
0.500 0.500 0.092
0.500 0.500 0.296
0.500 0.500 0.500
0.500 0.500 0.704
0.500 0.500 0.908
0.000 0.000 0.000
0.000 0.000 0.194
0.000 0.000 0.398
0.000 0.000 0.602
0.000 0.000 0.806


Record 15
Ce7Bi (PBE-GGA, relaxed); SG = Fm-3m, No. 225; energy relative to the elements = -0.191 eV/atom
1.0
6.703 0.000 0.000
3.352 5.805 0.000
3.352 1.935 5.473
Ce Bi
7 1
Direct
0.500 0.500 0.000
0.500 0.000 0.500
0.000 0.500 0.500
0.500 0.000 0.000
0.000 0.500 0.000
0.000 0.000 0.500
0.500 0.500 0.500
0.000 0.000 0.000


Record 16
CaAgBr2 (PBE-GGA, relaxed); SG = Cmmm, No. 65; formation energy from raw total energies = -0.96 eV per atom; energy above the lowest structure with this stoichiometry = 100 meV per atom
1.0
-1.349 -1.883 -2.695
-1.506 -2.243 2.309
-9.063 6.256 0.166
Ca Br Ag
1 2 1
Direct
0.500 0.500 0.250
0.000 0.000 0.095
0.000 0.000 0.405
0.500 0.500 0.750


Record 17
KTaMo4 (PBE-GGA, relaxed); SG = F-43m, No. 216; energy relative to the elements = 0.951 eV/atom
1.0
3.892 -3.611 1.020
0.973 -1.563 5.083
-1.302 -5.002 1.586
K Ta Mo
1 1 4
Direct
0.000 0.000 0.000
0.750 0.750 0.750
0.877 0.374 0.374
0.374 0.374 0.877
0.374 0.877 0.374
0.374 0.374 0.374


Record 18
LuHfTc4 (PBE-GGA, relaxed); SG = F-43m, No. 216; energy relative to the elements = -0.266 eV/atom
1.0
-0.297 0.779 -5.230
-4.727 0.260 -2.374
-1.762 4.621 -1.893
Lu Hf Tc
1 1 4
Direct
0.250 0.250 0.250
0.000 0.000 0.000
0.625 0.625 0.124
0.625 0.124 0.625
0.625 0.625 0.625
0.124 0.625 0.625


Record 19
Sr4CaCd3 (PBE-GGA, relaxed); SG = Pmm2, No. 25; energy relative to the elements = -0.197 eV/atom
1.0
4.493 0.000 0.000
0.000 5.005 0.000
0.000 0.000 14.036
Sr Ca Cd
4 1 3
Direct
0.500 0.500 0.375
0.000 0.500 0.822
0.000 0.000 0.195
0.500 0.000 0.639
0.500 0.500 0.051
0.000 0.500 0.570
0.000 0.000 0.445
0.500 0.000 0.902


Record 20
BAsSeCl2 (PBE-GGA, relaxed); SG = P4/mmm, No. 123; formation energy from raw total energies = 0.52 eV per atom
1.0
-3.946 0.017 0.728
0.886 -3.557 4.883
0.438 3.262 2.296
As B Se Cl
1 1 1 2
Direct
0.000 0.500 0.000
0.000 0.000 0.000
0.500 0.500 0.500
0.000 0.000 0.500
0.500 0.000 0.000


Record 21
HgPdNO2 (PBE-GGA, relaxed); SG = P4/mmm, No. 123; formation energy from raw total energies = 1.49 eV per atom
1.0
-3.412 2.565 -0.136
-2.258 -3.104 -1.871
-1.194 -1.389 3.746
O Hg Pd N
2 1 1 1
Direct
0.000 0.500 0.000
0.500 0.000 0.000
0.000 0.000 0.000
0.500 0.500 0.500
0.000 0.000 0.500


Record 22
Zr2Ag (PBE-GGA, relaxed); SG = Pa-3, No. 205; energy relative to the elements = 0.604 eV/atom
1.0
6.653 0.000 0.000
0.000 6.653 0.000
0.000 0.000 6.653
Zr Ag
8 4
Direct
0.146 0.646 0.854
0.146 0.854 0.354
0.354 0.146 0.854
0.354 0.354 0.354
0.646 0.646 0.646
0.646 0.854 0.146
0.854 0.146 0.646
0.854 0.354 0.146
0.000 0.000 0.000
0.000 0.500 0.500
0.500 0.000 0.500
0.500 0.500 0.000


Record 23
TaCu2Pt (PBE-GGA, relaxed); SG = C2/m, No. 12; energy above the lowest structure with this stoichiometry = 52 meV per atom; energy relative to the elements = -0.173 eV/atom
1.0
4.728 -0.006 -0.006
3.923 2.637 -0.006
0.746 0.227 4.703
Cu Pt Ta
2 1 1
Direct
0.001 0.001 0.003
0.499 0.499 0.497
0.750 0.750 0.750
0.250 0.250 0.250


Record 24
Zn2ReBSe (PBE-GGA, relaxed); SG = P4/mmm, No. 123; formation energy from raw total energies = 1.07 eV per atom
1.0
-4.329 2.477 -0.311
-1.722 -2.707 2.411
1.279 2.734 3.983
Re Zn B Se
1 2 1 1
Direct
0.000 0.000 0.000
0.000 0.000 0.500
0.500 0.000 0.000
0.000 0.500 0.000
0.500 0.500 0.500


| no. | total magnetization (μB/f.u.) |
| --- | --- |
| 1 | 4.21 |
| 2 | 0.00 |
| 3 | 4.57 |
| 4 | 0.00 |
| 5 | 0.00 |
| 6 | 3.12 |
| 7 | 0.00 |
| 8 | 0.00 |
| 9 | 3.59 |
| 10 | 0.00 |
| 11 | 2.56 |
| 12 | 0.00 |
| 13 | 0.00 |
| 14 | 0.00 |
| 15 | 0.00 |
| 16 | 0.00 |
| 17 | 0.00 |
| 18 | 0.00 |
| 19 | 0.00 |
| 20 | 0.00 |
| 21 | 3.46 |
| 22 | 0.00 |
| 23 | 0.00 |
| 24 | 1.27 |